Material: Mo14OsW
Method: DFT, PBE-GGA
State: relaxed

extended XYZ file:
```
16
Lattice="-5.226 1.594 -0.125 0.303 -5.075 2.005 0.815 3.322 8.284" Properties=species:S:1:pos:R:3 pbc="T T T"
Mo -4.338 1.608 2.227
Mo -1.729 0.784 2.264
Mo -1.152 -0.103 7.404
Mo -0.388 -4.242 1.739
Mo -3.934 3.255 6.333
Mo -0.134 -0.042 4.878
Mo -3.152 -0.907 0.674
Os 0.022 -2.584 5.882
Mo -1.555 -1.748 3.300
Mo -2.595 -1.782 5.818
W -2.745 0.754 4.816
Mo -3.002 -3.443 1.676
Mo -1.319 2.455 6.433
Mo -4.174 -0.945 3.198
Mo -3.764 0.726 7.366
Mo -0.540 -1.703 0.736
```

Density (Mg/m³): 11.3
Formation enthalpy at 0 K (eV/f.u.): 0.5
Raw total energy (eV per cell): -175.4